(1)
! PuZnPd PBE-GGA relaxed; values from VASP
! Formation energy from the elements ... -0.3446 eV/atom
! SG ... No. 107
&SYSTEM
  ibrav = 0, nat = 6, ntyp = 3
/
ATOMIC_SPECIES
Pu 244.00 Pu.upf
Zn 65.41 Zn.upf
Pd 106.42 Pd.upf
CELL_PARAMETERS angstrom
3.225 0.000 0.000
0.000 3.225 0.000
0.000 0.000 11.062
ATOMIC_POSITIONS crystal
Pu 0.000 0.000 0.000
Pu 0.500 0.500 0.500
Zn 0.000 0.000 0.303
Zn 0.500 0.500 0.803
Pd 0.000 0.000 0.685
Pd 0.500 0.500 0.185

=====

(2)
! PuZnPd4 PBE-GGA relaxed; values from VASP
! Formation energy from the elements ... -0.3917 eV/atom
! SG ... No. 216
! Excess energy over the best structure of this formula in the dataset ... 24 meV/atom
&SYSTEM
  ibrav = 0, nat = 6, ntyp = 3
/
ATOMIC_SPECIES
Pu 244.00 Pu.upf
Zn 65.41 Zn.upf
Pd 106.42 Pd.upf
CELL_PARAMETERS angstrom
0.000 3.772 3.772
3.772 0.000 3.772
3.772 3.772 0.000
ATOMIC_POSITIONS crystal
Pu 0.000 0.000 0.000
Zn 0.750 0.750 0.750
Pd 0.376 0.376 0.376
Pd 0.376 0.376 0.873
Pd 0.376 0.873 0.376
Pd 0.873 0.376 0.376

=====

(3)
! Pu2Zn2Pd PBE-GGA relaxed; values from VASP
! Formation energy from the elements ... 0.1953 eV/atom
! SG ... No. 141
&SYSTEM
  ibrav = 0, nat = 10, ntyp = 3
/
ATOMIC_SPECIES
Pu 244.00 Pu.upf
Zn 65.41 Zn.upf
Pd 106.42 Pd.upf
CELL_PARAMETERS angstrom
-1.974 1.974 12.333
1.974 -1.974 12.333
1.974 1.974 -12.333
ATOMIC_POSITIONS crystal
Pu 0.027 0.277 0.750
Pu 0.277 0.027 0.250
Pu 0.723 0.973 0.750
Pu 0.973 0.723 0.250
Zn 0.187 0.437 0.750
Zn 0.437 0.187 0.250
Zn 0.563 0.813 0.750
Zn 0.813 0.563 0.250
Pd 0.375 0.625 0.750
Pd 0.625 0.375 0.250

=====

(4)
! Pu3Zn2Pd7 PBE-GGA relaxed; values from VASP
! Formation energy from the elements ... -0.1404 eV/atom
! SG ... No. 10
&SYSTEM
  ibrav = 0, nat = 12, ntyp = 3
/
ATOMIC_SPECIES
Pu 244.00 Pu.upf
Zn 65.41 Zn.upf
Pd 106.42 Pd.upf
CELL_PARAMETERS angstrom
5.695 0.000 0.000
0.000 2.849 0.000
-2.082 0.000 12.967
ATOMIC_POSITIONS crystal
Pu 0.000 0.000 0.000
Pu 0.178 0.500 0.182
Pu 0.822 0.500 0.818
Zn 0.313 0.000 0.832
Zn 0.687 0.000 0.168
Pd 0.088 0.500 0.660
Pd 0.234 0.000 0.484
Pd 0.486 0.000 0.331
Pd 0.500 0.500 0.000
Pd 0.514 0.000 0.669
Pd 0.766 0.000 0.516
Pd 0.912 0.500 0.340

=====

(5)
! Pu2Zn16Pd PBE-GGA relaxed; values from VASP
! Formation energy from the elements ... -0.1899 eV/atom
! SG ... No. 160
&SYSTEM
  ibrav = 0, nat = 19, ntyp = 3
/
ATOMIC_SPECIES
Pu 244.00 Pu.upf
Zn 65.41 Zn.upf
Pd 106.42 Pd.upf
CELL_PARAMETERS angstrom
4.500 2.598 4.412
-4.500 2.598 4.412
0.000 -5.196 4.412
ATOMIC_POSITIONS crystal
Pu 0.000 0.000 0.000
Pu 0.322 0.322 0.322
Zn 0.013 0.013 0.501
Zn 0.013 0.501 0.013
Zn 0.162 0.657 0.657
Zn 0.308 0.308 0.813
Zn 0.308 0.813 0.308
Zn 0.366 0.658 0.950
Zn 0.366 0.950 0.658
Zn 0.501 0.013 0.013
Zn 0.657 0.162 0.657
Zn 0.657 0.657 0.162
Zn 0.658 0.366 0.950
Zn 0.658 0.950 0.366
Zn 0.764 0.764 0.764
Zn 0.813 0.308 0.308
Zn 0.950 0.366 0.658
Zn 0.950 0.658 0.366
Pd 0.561 0.561 0.561

=====

(6)
! PuZnPd4 PBE-GGA relaxed; values from VASP
! Formation energy from the elements ... -0.4160 eV/atom
! SG ... No. 51
! Excess energy over the best structure of this formula in the dataset ... 0 meV/atom
&SYSTEM
  ibrav = 0, nat = 12, ntyp = 3
/
ATOMIC_SPECIES
Pu 244.00 Pu.upf
Zn 65.41 Zn.upf
Pd 106.42 Pd.upf
CELL_PARAMETERS angstrom
7.483 0.000 0.000
0.000 4.051 0.000
0.000 0.000 6.972
ATOMIC_POSITIONS crystal
Pu 0.250 0.000 0.154
Pu 0.750 0.000 0.846
Zn 0.250 0.000 0.733
Zn 0.750 0.000 0.267
Pd 0.000 0.000 0.500
Pd 0.046 0.500 0.810
Pd 0.250 0.500 0.457
Pd 0.454 0.500 0.810
Pd 0.500 0.000 0.500
Pd 0.546 0.500 0.190
Pd 0.750 0.500 0.543
Pd 0.954 0.500 0.190

=====

(7)
! PuZn3Pd PBE-GGA relaxed; values from VASP
! Formation energy from the elements ... -0.1136 eV/atom
! SG ... No. 74
&SYSTEM
  ibrav = 0, nat = 10, ntyp = 3
/
ATOMIC_SPECIES
Pu 244.00 Pu.upf
Zn 65.41 Zn.upf
Pd 106.42 Pd.upf
CELL_PARAMETERS angstrom
-2.777 4.815 3.849
2.777 -4.815 3.849
2.777 4.815 -3.849
ATOMIC_POSITIONS crystal
Pu 0.385 0.135 0.250
Pu 0.615 0.865 0.750
Zn 0.176 0.000 0.676
Zn 0.176 0.500 0.176
Zn 0.196 0.446 0.750
Zn 0.804 0.554 0.250
Zn 0.824 0.000 0.324
Zn 0.824 0.500 0.824
Pd 0.000 0.500 0.500
Pd 0.500 0.500 0.000

=====

(8)
! Pu2ZnPd PBE-GGA relaxed; values from VASP
! Formation energy from the elements ... 0.1868 eV/atom
! SG ... No. 166
! Excess energy over the best structure of this formula in the dataset ... 426 meV/atom
&SYSTEM
  ibrav = 0, nat = 12, ntyp = 3
/
ATOMIC_SPECIES
Pu 244.00 Pu.upf
Zn 65.41 Zn.upf
Pd 106.42 Pd.upf
CELL_PARAMETERS angstrom
2.944 0.000 0.000
-1.472 2.550 0.000
0.000 0.000 33.546
ATOMIC_POSITIONS crystal
Pu 0.000 0.000 0.091
Pu 0.000 0.000 0.909
Pu 0.333 0.667 0.576
Pu 0.333 0.667 0.758
Pu 0.667 0.333 0.242
Pu 0.667 0.333 0.424
Zn 0.000 0.000 0.000
Zn 0.333 0.667 0.667
Zn 0.667 0.333 0.333
Pd 0.000 0.000 0.500
Pd 0.333 0.667 0.167
Pd 0.667 0.333 0.833